The following is a PBE calculation of a relaxed TaSbIr2 crystal, from Alexandria.

Lattice parameters (Å, degrees): 5.0352 5.0352 5.0352 132.89 132.89 68.82
Fractional positions:
Ta  0.0000  0.0000  0.0000
Sb  0.2500  0.7500  0.5000
Ir  0.5000  0.5000  0.0000
Ir  0.7500  0.2500  0.5000

* crystal system: tetragonal
* volume: 67 Å³/cell
* formation energy (no corrections): -0.07 eV per atom
* calculated density: 16.96 g cm⁻³
* raw total energy: -8.498 eV per atom


The following is a PBE calculation of a relaxed AcHI2 crystal, from Alexandria.

Lattice parameters (Å, degrees): 8.8004 8.8004 8.8004 28.96 28.96 28.96
Fractional positions:
Ac  0.0000  0.0000  0.0000
H  0.3333  0.3333  0.3333
I  0.5783  0.5783  0.5783
I  0.7551  0.7551  0.7551

* crystal system: trigonal
* volume: 141 Å³/cell
* energy above the most stable polymorph in this dataset: 0 meV/atom
* calculated density: 5.66 g cm⁻³
* raw total energy: -3.954 eV per atom


The following is a PBE calculation of a relaxed LuMgSiPt crystal, from Alexandria.

Lattice parameters (Å, degrees): 4.7042 4.7042 4.7042 60.00 60.00 60.00
Fractional positions:
Lu  0.0000  0.0000  0.0000
Mg  0.5000  0.5000  0.5000
Si  0.2500  0.2500  0.2500
Pt  0.7500  0.7500  0.7500

* crystal system: cubic
* volume: 74 Å³/cell
* formation energy (no corrections): -0.69 eV per atom
* calculated density: 9.53 g cm⁻³
* raw total energy: -5.083 eV per atom


The following is a PBE calculation of a relaxed KRbCd2Pt crystal, from Alexandria.

Lattice parameters (Å, degrees): 5.4029 5.4029 6.1391 90.00 90.00 90.00
Fractional positions:
K  0.0000  0.0000  0.0000
Rb  0.5000  0.5000  0.0000
Cd  0.0000  0.5000  0.5000
Cd  0.5000  0.0000  0.5000
Pt  0.5000  0.5000  0.5000

* crystal system: tetragonal
* volume: 179 Å³/cell
* energy above the most stable polymorph in this dataset: 44 meV/atom
* calculated density: 5.05 g cm⁻³
* raw total energy: -2.088 eV per atom
* E_form: -0.101 eV per atom


The following is a PBE calculation of a relaxed CsGeI2 crystal, from Alexandria.

Lattice parameters (Å, degrees): 10.2698 10.2698 10.2698 138.76 138.76 59.74
Fractional positions:
Cs  0.0000  0.0000  0.0000
Cs  0.7500  0.2500  0.5000
Ge  0.2500  0.7500  0.5000
Ge  0.5000  0.5000  0.0000
I  0.2286  0.6250  0.1036
I  0.3750  0.4786  0.6036
I  0.5214  0.1250  0.8964
I  0.8750  0.7714  0.3964

* crystal system: tetragonal
* volume: 466 Å³/cell
* formation energy (no corrections): -0.47 eV per atom
* energy above the most stable polymorph in this dataset: 0 meV/atom
* calculated density: 3.27 g cm⁻³
* raw total energy: -2.617 eV per atom


The following is a PBE calculation of a relaxed Mn12FeCo6 crystal, from Alexandria.

Lattice parameters (Å, degrees): 6.4159 6.4159 6.4159 106.78 106.78 106.78
Fractional positions:
Mn  0.0087  0.6818  0.1510
Mn  0.0793  0.3784  0.2884
Mn  0.1510  0.0087  0.6818
Mn  0.2884  0.0793  0.3784
Mn  0.3182  0.8490  0.9913
Mn  0.3784  0.2884  0.0793
Mn  0.6216  0.7116  0.9207
Mn  0.6818  0.1510  0.0087
Mn  0.7116  0.9207  0.6216
Mn  0.8490  0.9913  0.3182
Mn  0.9207  0.6216  0.7116
Mn  0.9913  0.3182  0.8490
Fe  0.0000  0.0000  0.0000
Co  0.2386  0.4167  0.6777
Co  0.3223  0.7614  0.5833
Co  0.4167  0.6777  0.2386
Co  0.5833  0.3223  0.7614
Co  0.6777  0.2386  0.4167
Co  0.7614  0.5833  0.3223

* crystal system: trigonal
* volume: 221 Å³/cell
* calculated density: 8.02 g cm⁻³
* raw total energy: -8.312 eV per atom
* E_form: 0.168 eV per atom